[1]
# Y2InPd8

An optimized crystal structure of Y2InPd8 (GGA-PBE, Alexandria).

Output
Space group = Immm (71)

Cell: 4.653 6.109 8.108 Å, 112.10 106.68 90.00°
Positions (direct):
Pd (0.641, 0.409, 0.282)
Pd (0.000, 0.739, 0.000)
Pd (0.359, 0.591, 0.718)
Pd (0.824, 0.824, 0.649)
Pd (0.359, 0.126, 0.718)
Pd (0.176, 0.176, 0.351)
Pd (0.641, 0.874, 0.282)
Pd (0.000, 0.261, 0.000)
Y (0.810, 0.310, 0.619)
Y (0.190, 0.690, 0.381)
In (0.500, 0.000, 0.000)

---

[2]
# Tb2PH

An optimized crystal structure of Tb2PH (GGA-PBE, Alexandria).

Output
Space group = R3m (160)
E above lowest polymorph = 116.9 meV per atom

Cell: 3.853 3.853 7.182 Å, 74.44 74.44 60.00°
Positions (direct):
H (0.456, 0.456, 0.632)
Tb (0.095, 0.095, 0.716)
Tb (0.271, 0.271, 0.187)
P (0.678, 0.678, 0.965)

---

[3]
# La2SnBiRh

An optimized crystal structure of La2SnBiRh (GGA-PBE, Alexandria).

Output
Space group = P4/mmm (123)

Cell: 5.555 5.555 5.060 Å, 90.00 90.00 90.00°
Positions (direct):
Sn (0.000, 0.000, 0.500)
Rh (0.000, 0.000, 0.000)
La (0.000, 0.500, 0.000)
La (0.500, 0.000, 0.000)
Bi (0.500, 0.500, 0.500)

---

[4]
# La6AsS4

An optimized crystal structure of La6AsS4 (GGA-PBE, Alexandria).

Output
Space group = Cmcm (63)
Raw formation energy = -1819 meV per atom

Cell: 4.144 7.173 20.905 Å, 90.00 90.00 106.79°
Positions (direct):
S (0.415, 0.829, 0.375)
S (0.861, 0.722, 0.540)
S (0.139, 0.278, 0.040)
S (0.585, 0.171, 0.875)
S (0.861, 0.722, 0.960)
S (0.415, 0.829, 0.125)
S (0.585, 0.171, 0.625)
S (0.139, 0.278, 0.460)
La (0.946, 0.891, 0.832)
La (0.774, 0.547, 0.411)
La (0.335, 0.671, 0.250)
La (0.946, 0.891, 0.668)
La (0.226, 0.453, 0.911)
La (0.500, 0.000, 0.500)
La (0.054, 0.109, 0.332)
La (0.500, 0.000, 0.000)
La (0.054, 0.109, 0.168)
La (0.226, 0.453, 0.589)
La (0.774, 0.547, 0.089)
La (0.665, 0.329, 0.750)
As (0.325, 0.651, 0.750)
As (0.675, 0.349, 0.250)

---

[5]
# CaTbDyAl

An optimized crystal structure of CaTbDyAl (GGA-PBE, Alexandria).

Output
Space group = F-43m (216)

Cell: 5.393 5.393 5.393 Å, 60.00 60.00 60.00°
Positions (direct):
Dy (0.250, 0.250, 0.250)
Al (0.000, 0.000, 0.000)
Ca (0.500, 0.500, 0.500)
Tb (0.750, 0.750, 0.750)

---

[6]
# AcSi2AgPt5

An optimized crystal structure of AcSi2AgPt5 (GGA-PBE, Alexandria).

Output
Space group = P4/mmm (123)
Raw formation energy = -602 meV per atom

Cell: 4.154 4.154 10.738 Å, 90.00 90.00 90.00°
Positions (direct):
Pt (0.500, 0.000, 0.176)
Pt (0.000, 0.500, 0.176)
Pt (0.500, 0.000, 0.824)
Pt (0.000, 0.500, 0.824)
Pt (0.500, 0.500, 0.500)
Si (0.500, 0.500, 0.721)
Si (0.500, 0.500, 0.279)
Ac (0.000, 0.000, 0.500)
Ag (0.000, 0.000, 0.000)

---

Number 1: E_tot -5.79 eV/atom. Number 2: E_tot -5.34 eV/atom. Number 3: E_tot -5.75 eV/atom. Number 4: E_tot -6.43 eV/atom. Number 5: E_tot -3.80 eV/atom. Number 6: E_tot -5.94 eV/atom.